A plane-wave DFT calculation with GGA-PBEsol was carried out for a geometry-optimized Ba2GaRh structure.

Unit cell a=4.802 b=8.398 c=8.398 alpha=85.31 beta=73.39 gamma=73.39
Fractional coordinates of all 8 atoms:
Rh  0.750  0.500  0.500
Rh  0.000  0.000  0.000
Ba  0.946  0.179  0.679
Ba  0.804  0.821  0.321
Ba  0.375  0.679  0.821
Ba  0.875  0.321  0.179
Ga  0.250  0.500  0.500
Ga  0.500  0.000  0.000

Computed properties:
Symmetry: I-42d
E_form in kJ per mole of atoms: -22.60
Mass density in Mg/m³: 4.78